Record 1
A plane-wave DFT calculation with PBE was carried out for a relaxed structure of ZnFe2Br.

- density (Mg/m³) = 5.8
- raw formation energy (eV/atom) = 0.402

a b c (Å): 7.6558 3.1458 6.6252
angles (deg): 90.00 111.64 90.00
Closest atoms and distances in Å follow each position.
Space group Cm (No. 8)
One atom of each set of equivalent atoms:
Zn 0.0000 0.0000 0.0000 x2  5 Fe 2.51-2.68
Fe 0.0220 0.5000 0.3366 x2  3 Fe 2.41-2.43, 1 Br 2.60, 2 Zn 2.68
Fe 0.2677 0.5000 0.1864 x2  3 Fe 2.41-2.43, 3 Zn 2.51-2.52
Br 0.3178 0.0000 0.5746 x2  3 Fe 2.60-2.73

Record 2
A plane-wave DFT calculation with PBE was carried out for a relaxed structure of LaEuGdHg.

- density (Mg/m³) = 8.9
- formation enthalpy at 0 K (eV per formula unit) = -0.393

a b c (Å): 7.8664 7.8664 7.8664
angles (deg): 90.00 90.00 90.00
Closest atoms and distances in Å follow each position.
Space group F-43m (No. 216)
One atom of each set of equivalent atoms:
La 0.0000 0.0000 0.0000 x4  4 Hg 3.41, 4 Eu 3.41
Eu 0.2500 0.2500 0.2500 x4  4 Gd 3.41, 4 La 3.41
Gd 0.0000 0.0000 0.5000 x4  4 Hg 3.41, 4 Eu 3.41
Hg 0.2500 0.2500 0.7500 x4  4 Gd 3.41, 4 La 3.41

Record 3
A plane-wave DFT calculation with PBE was carried out for a relaxed structure of ReTcBiH2.

- density (Mg/m³) = 10.5

a b c (Å): 3.6602 3.6602 5.8625
angles (deg): 90.00 90.00 90.00
Closest atoms and distances in Å follow each position.
Space group P4/mmm (No. 123)
One atom of each set of equivalent atoms:
Re 0.0000 0.0000 0.0000 x1  4 Tc 2.59
Tc 0.5000 0.5000 0.0000 x1  4 Re 2.59
Bi 0.0000 0.0000 0.5000 x1  4 H 1.83
H 0.0000 0.5000 0.5000 x2  2 Bi 1.83

Record 4
A plane-wave DFT calculation with PBE was carried out for a relaxed structure of CoAs2Pb2.

- density (Mg/m³) = 9.4
- formation enthalpy at 0 K (eV per formula unit) = 0.360

a b c (Å): 6.2233 6.2233 5.7073
angles (deg): 90.00 90.00 90.00
Closest atoms and distances in Å follow each position.
Space group P4/mbm (No. 127)
One atom of each set of equivalent atoms:
Co 0.0000 0.0000 0.0000 x2  4 As 2.39
As 0.1453 0.3547 0.0000 x4  2 Co 2.39, 1 As 2.56
Pb 0.1913 0.6913 0.5000 x4  6 As 3.20-3.55, 5 Pb 3.20-3.37

Record 5
A plane-wave DFT calculation with PBE was carried out for a relaxed structure of PrMgPaN3.

- density (Mg/m³) = 6.4
- raw formation energy (eV/atom) = -1.161

a b c (Å): 6.9753 3.5490 9.2971
angles (deg): 90.00 99.70 90.00
Closest atoms and distances in Å follow each position.
Space group P2_1/m (No. 11)
One atom of each set of equivalent atoms:
Pr 0.0859 0.2500 0.3462 x2  5 N 2.40-2.63
Mg 0.3413 0.2500 0.9583 x2  3 N 2.06-2.13
Pa 0.4019 0.7500 0.6412 x2  2 N 2.10-2.25
N 0.1641 0.2500 0.6076 x2  3 Pr 2.40-2.57, 2 Pa 2.41
N 0.3684 0.7500 0.3959 x2  3 Pa 2.25-2.45
N 0.4151 0.7500 0.8686 x2  3 Mg 2.06-2.13, 1 Pa 2.10

Record 6
A plane-wave DFT calculation with PBE was carried out for a relaxed structure of La8Pm3Ho2.

- density (Mg/m³) = 6.7
- formation enthalpy at 0 K (eV per formula unit) = 1.885

a b c (Å): 13.4785 11.9495 6.2469
angles (deg): 90.00 112.59 90.00
Closest atoms and distances in Å follow each position.
Space group C2/m (No. 12)
One atom of each set of equivalent atoms:
La 0.0519 0.0000 0.2930 x4  2 Ho 3.26-3.32, 4 La 3.38-3.56, 2 Pm 3.44
La 0.1440 0.5000 0.5591 x4  3 Pm 3.28-3.49, 1 Ho 3.51, 1 La 3.66
La 0.1737 0.2423 0.1701 x8  2 Ho 3.46-3.70, 4 La 3.48-3.84, 2 Pm 3.67-3.77
Pm 0.0000 0.2511 0.5000 x4  6 La 3.44-3.67
Pm 0.0000 0.5000 0.0000 x2  2 La 3.28, 2 Ho 3.63
Ho 0.2112 0.0000 0.8392 x4  5 La 3.26-3.51, 1 Pm 3.63

Record 7
A plane-wave DFT calculation with PBE was carried out for a relaxed structure of LaEuSb2.

- density (Mg/m³) = 6.4
- raw formation energy (eV/atom) = -1.062

a b c (Å): 4.6155 4.6155 22.5302
angles (deg): 90.00 90.00 120.00
Closest atoms and distances in Å follow each position.
Space group R-3m (No. 166, hexagonal axes)
One atom of each set of equivalent atoms:
La 0.0000 0.0000 0.0000 x3  6 Sb 3.26
Eu 0.0000 0.0000 0.5000 x3  6 Sb 3.26
Sb 0.0000 0.0000 0.2499 x6  3 Eu 3.26, 3 La 3.26

Record 8
A plane-wave DFT calculation with PBE was carried out for a relaxed structure of PaAsPd2.

- density (Mg/m³) = 10.7
- formation enthalpy at 0 K (eV per formula unit) = -2.302

a b c (Å): 4.1874 4.3317 4.4587
angles (deg): 90.00 97.73 90.00
Closest atoms and distances in Å follow each position.
Space group P2/m (No. 10)
One atom of each set of equivalent atoms:
Pa 0.0000 0.0000 0.0000 x1  4 Pd 2.83, 2 As 2.85
As 0.5000 0.0000 0.5000 x1  4 Pd 2.60, 2 Pa 2.85
Pd 0.2848 0.5000 0.7265 x2  2 As 2.60, 2 Pa 2.83, 3 Pd 2.83-2.91

Number 1: uncorrected energy -36.53 eV for the cell shown, size of the total moment 10.53 μB/cell. Number 2: uncorrected energy -119.91 eV for the cell shown, size of the total moment 64.13 μB/cell. Number 3: uncorrected energy -27.17 eV for the cell shown, size of the total moment 0.00 μB/cell. Number 4: uncorrected energy -46.92 eV for the cell shown, size of the total moment 1.18 μB/cell. Number 5: uncorrected energy -95.62 eV for the cell shown, size of the total moment 0.00 μB/cell. Number 6: uncorrected energy -121.88 eV for the cell shown, size of the total moment 0.00 μB/cell. Number 7: uncorrected energy -83.08 eV for the cell shown, size of the total moment 19.61 μB/cell. Number 8: uncorrected energy -26.83 eV for the cell shown, size of the total moment 0.00 μB/cell.